An optimized crystal structure of Na2CrH8O8. Source: Alexandria, functional PBEsol.

a b c (Å): 6.119 10.991 12.031
angles (deg): 90.00 104.85 90.00
Element x y z (fractional)
Na 0.246 0.923 0.003
Na 0.254 0.423 0.497
Na 0.754 0.077 0.997
Na 0.746 0.577 0.503
Na 0.867 0.825 0.391
Na 0.633 0.325 0.109
Na 0.133 0.175 0.609
Na 0.367 0.675 0.891
Cr 0.522 0.105 0.264
Cr 0.978 0.605 0.236
Cr 0.478 0.895 0.736
Cr 0.022 0.395 0.764
H 0.749 0.019 0.620
H 0.751 0.519 0.880
H 0.251 0.981 0.380
H 0.249 0.481 0.120
H 0.731 0.062 0.490
H 0.769 0.562 0.010
H 0.269 0.938 0.510
H 0.231 0.438 0.990
H 0.860 0.806 0.628
H 0.640 0.306 0.872
H 0.140 0.194 0.372
H 0.360 0.694 0.128
H 0.100 0.754 0.629
H 0.400 0.254 0.871
H 0.900 0.246 0.371
H 0.600 0.746 0.129
H 0.916 0.699 0.907
H 0.584 0.199 0.593
H 0.084 0.301 0.093
H 0.416 0.801 0.407
H 0.919 0.808 0.822
H 0.581 0.308 0.678
H 0.081 0.192 0.178
H 0.419 0.692 0.322
H 0.041 0.129 0.844
H 0.459 0.629 0.656
H 0.959 0.871 0.156
H 0.541 0.371 0.344
H 0.908 0.004 0.809
H 0.592 0.504 0.691
H 0.092 0.996 0.191
H 0.408 0.496 0.309
O 0.508 0.069 0.132
O 0.992 0.569 0.368
O 0.492 0.931 0.868
O 0.008 0.431 0.632
O 0.623 0.245 0.289
O 0.877 0.745 0.211
O 0.377 0.755 0.711
O 0.123 0.255 0.789
O 0.688 0.013 0.354
O 0.812 0.513 0.146
O 0.312 0.987 0.646
O 0.188 0.487 0.854
O 0.261 0.098 0.287
O 0.239 0.598 0.213
O 0.739 0.902 0.713
O 0.761 0.402 0.787
O 0.764 0.092 0.572
O 0.736 0.592 0.928
O 0.236 0.908 0.428
O 0.264 0.408 0.072
O 0.940 0.757 0.582
O 0.560 0.257 0.918
O 0.060 0.243 0.418
O 0.440 0.743 0.082
O 0.017 0.764 0.887
O 0.483 0.264 0.613
O 0.983 0.236 0.113
O 0.517 0.736 0.387
O 0.994 0.052 0.876
O 0.506 0.552 0.624
O 0.006 0.948 0.124
O 0.494 0.448 0.376

=====

An optimized crystal structure of NbCr2H. Source: Alexandria, functional PBEsol.

a b c (Å): 4.122 4.122 4.122
angles (deg): 60.00 60.00 60.00
Last column: magnetic moment on the atom in μB.
Element x y z (fractional)
Cr 0.250 0.250 0.250  2.00
Cr 0.750 0.750 0.750  2.00
Nb 0.500 0.500 0.500  -0.43
H 0.000 0.000 0.000  -0.01

=====

What raw total energy values result from the calculations? In sequence: -5.6656, -7.6235 eV per atom.
What total magnetization values result from the calculations? In sequence: 0.0, 3.9 μB/f.u..